Material: CsNpCdSe3
Method: DFT, PBE
State: relaxed

```
12
Lattice="4.365 0.000 0.000 0.000 9.559 -0.548 0.000 -3.130 10.174" Properties=species:S:1:pos:R:3 pbc="T T T"
Cd 3.274 7.536 3.425
Cd 1.091 -1.106 6.200
Se 3.274 7.985 0.837
Se 1.091 -1.555 8.788
Se 3.274 4.083 1.240
Se 1.091 2.347 8.386
Se 1.091 6.097 4.161
Se 3.274 0.333 5.464
Cs 1.091 1.356 2.354
Cs 3.274 5.073 7.271
Np 3.274 0.443 8.597
Np 1.091 5.987 1.029
```

Values from the calculation:
Energy   -5.21 eV/atom
ΔE_f (raw)   -1.019 eV/atom